Computed, not measured: an optimized crystal structure of La2AgPt2 at the PBE level of DFT.

Formation energy from the elements   -0.69 eV per atom
DOS at the Fermi energy   9.0 states/eV/cell
Polymorph energy (0 for the lowest one)   0.2659 eV/atom
Space group   P4/mbm
Volume   256.5 Å³ per cell
Spin magnetization   0.0000 μB per atom

Structure (extended XYZ):
```
10
Lattice="8.310 0.000 0.000 0.000 8.310 0.000 0.000 0.000 3.714" Properties=species:S:1:pos:R:3 pbc="T T T"
La 6.967 5.498 0.000
La 2.812 6.967 0.000
La 5.498 1.343 0.000
La 1.343 2.812 0.000
Ag 4.155 4.155 0.000
Ag 0.000 0.000 0.000
Pt 5.245 7.221 1.857
Pt 7.221 3.066 1.857
Pt 3.066 1.089 1.857
Pt 1.089 5.245 1.857
```

Computed, not measured: an optimized crystal structure of LiTmSi2Pd2 at the PBE level of DFT.

Uncorrected formation energy   -0.785 eV per atom
DOS at the Fermi energy   1.8 states/eV/cell
Space group   P-3m1
Volume   98.4 Å³ per cell
Spin magnetization   0.0000 μB per atom

Structure (extended XYZ):
```
6
Lattice="-2.048 0.494 -3.620 -2.128 -0.165 3.604 0.504 6.429 0.592" Properties=species:S:1:pos:R:3 pbc="T T T"
Pd -1.766 4.332 1.590
Pd -1.906 2.426 -1.014
Li 0.252 3.215 0.296
Tm 0.000 0.000 0.000
Si -1.709 4.938 -0.783
Si -1.963 1.820 1.359
```

Computed, not measured: an optimized crystal structure of DyB3Rh6 at the PBE level of DFT.

Formation energy from the elements   -0.44 eV per atom
DOS at the Fermi energy   5.7 states/eV/cell
Space group   R3
Volume   133.5 Å³ per cell
Spin magnetization   0.0000 μB per atom

Structure (extended XYZ):
```
10
Lattice="-3.046 3.817 2.417 -1.563 -5.218 0.130 5.199 -1.489 2.761" Properties=species:S:1:pos:R:3 pbc="T T T"
Rh -1.149 2.060 2.471
Rh -1.285 -0.740 2.119
Rh -0.273 -3.212 1.129
Rh 0.566 -0.029 3.878
Rh 2.041 -1.989 2.690
Rh 1.319 -4.616 2.716
B 2.594 -0.670 4.327
B 3.092 -3.682 3.570
B 1.013 -0.261 1.689
Dy 0.232 -2.797 4.710
```

Computed, not measured: an optimized crystal structure of NbFePd6 at the PBE level of DFT.

Formation energy from the elements   -0.27 eV per atom
DOS at the Fermi energy   4.0 states/eV/cell
Polymorph energy (0 for the lowest one)   0.0000 eV/atom
Space group   P4/mmm
Volume   122.1 Å³ per cell
Spin magnetization   0.5530 μB per atom

Structure (extended XYZ):
```
8
Lattice="-1.504 1.105 3.476 0.424 -3.681 1.354 7.205 1.770 2.554" Properties=species:S:1:pos:R:3 pbc="T T T"
Nb 3.602 0.885 1.277
Pd 2.011 -1.399 1.315
Pd -0.540 -1.288 2.415
Pd 3.063 -0.403 3.692
Pd 4.654 1.881 3.654
Pd 1.047 0.994 2.375
Pd 5.618 -0.513 2.593
Fe 0.000 0.000 0.000
```

Computed, not measured: an optimized crystal structure of KLiP2Pd4 at the PBE level of DFT.

Formation energy from the elements   -0.43 eV per atom
DOS at the Fermi energy   3.4 states/eV/cell
Space group   P4/mmm
Volume   155.3 Å³ per cell
Spin magnetization   0.0000 μB per atom

Structure (extended XYZ):
```
8
Lattice="4.071 0.000 0.000 0.000 4.071 0.000 0.000 0.000 9.369" Properties=species:S:1:pos:R:3 pbc="T T T"
Pd 0.000 2.035 1.568
Pd 0.000 2.035 7.801
Pd 2.035 0.000 7.801
Pd 2.035 0.000 1.568
Li 0.000 0.000 0.000
P 2.035 2.035 2.695
P 2.035 2.035 6.674
K 0.000 0.000 4.684
```

Computed, not measured: an optimized crystal structure of Nb3TeSe at the PBE level of DFT.

Uncorrected formation energy   1.408 eV per atom
DOS at the Fermi energy   6.3 states/eV/cell
Polymorph energy (0 for the lowest one)   1.5380 eV/atom
Space group   Pm-3m
Volume   129.3 Å³ per cell
Spin magnetization   0.0000 μB per atom

Structure (extended XYZ):
```
5
Lattice="-1.176 -4.874 0.651 2.611 -1.186 -4.165 4.168 -0.632 2.792" Properties=species:S:1:pos:R:3 pbc="T T T"
Se 2.801 -3.346 -0.361
Nb 1.305 -0.593 -2.082
Nb 2.084 -0.316 1.396
Nb -0.588 -2.437 0.326
Te 0.000 0.000 0.000
```

Computed, not measured: an optimized crystal structure of ZnCoCl2 at the PBE level of DFT.

Uncorrected formation energy   0.090 eV per atom
DOS at the Fermi energy   4.3 states/eV/cell
Polymorph energy (0 for the lowest one)   0.4304 eV/atom
Space group   C2/m
Volume   79.7 Å³ per cell
Spin magnetization   0.4140 μB per atom

Structure (extended XYZ):
```
4
Lattice="-2.706 3.361 -2.057 -3.430 -3.325 -0.154 -4.161 1.036 2.057" Properties=species:S:1:pos:R:3 pbc="T T T"
Cl 0.000 0.000 0.000
Cl -3.068 0.018 -1.106
Zn -3.795 -1.144 0.951
Co -3.433 2.198 0.000
```

Computed, not measured: an optimized crystal structure of BeSbAs2Se at the PBE level of DFT.

Uncorrected formation energy   1.291 eV per atom
DOS at the Fermi energy   5.9 states/eV/cell
Polymorph energy (0 for the lowest one)   0.9131 eV/atom
Space group   P4/mmm
Volume   147.3 Å³ per cell
Spin magnetization   0.1558 μB per atom

Structure (extended XYZ):
```
5
Lattice="5.298 0.000 0.000 0.000 5.298 0.000 0.000 0.000 5.249" Properties=species:S:1:pos:R:3 pbc="T T T"
Be 2.649 2.649 2.625
Sb 0.000 0.000 0.000
As 0.000 2.649 0.000
As 2.649 0.000 0.000
Se 0.000 0.000 2.625
```

Computed, not measured: an optimized crystal structure of Nd5Er3Tm at the PBE level of DFT.

Formation energy from the elements   0.32 eV per atom
DOS at the Fermi energy   26.4 states/eV/cell
Polymorph energy (0 for the lowest one)   0.0456 eV/atom
Space group   I4/mcm
Volume   617.0 Å³ per cell
Spin magnetization   0.0000 μB per atom

Structure (extended XYZ):
```
18
Lattice="-4.055 -4.603 7.031 7.917 -4.710 1.483 0.209 9.677 0.264" Properties=species:S:1:pos:R:3 pbc="T T T"
Tm -0.958 0.209 5.776
Tm 5.028 0.156 3.002
Nd 0.021 6.024 1.466
Nd 3.124 1.358 5.180
Nd 0.946 -0.993 3.598
Nd 4.377 4.120 1.520
Nd 1.931 -4.656 4.257
Nd -0.306 -3.755 7.258
Nd 0.000 0.000 0.000
Nd -1.231 3.262 5.127
Nd 5.302 -2.897 3.651
Nd 4.049 -5.659 7.312
Er 1.070 2.511 2.261
Er 2.649 -2.343 1.348
Er 3.001 -2.146 6.518
Er 5.467 -5.993 4.068
Er -1.605 -3.320 4.447
Er 1.213 -6.969 7.166
```

Computed, not measured: an optimized crystal structure of Tb4Dy3ScSe8 at the PBE level of DFT.

Uncorrected formation energy   -1.730 eV per atom
DOS at the Fermi energy   11.0 states/eV/cell
Space group   R-3m
Volume   380.0 Å³ per cell
Spin magnetization   0.0000 μB per atom

Structure (extended XYZ):
```
16
Lattice="-6.331 -4.445 -2.477 4.380 -6.786 0.984 -0.860 5.203 6.179" Properties=species:S:1:pos:R:3 pbc="T T T"
Tb -3.166 -2.223 -1.239
Tb -3.595 0.379 1.851
Tb -0.430 2.601 3.089
Tb 0.000 0.000 0.000
Dy -0.976 -5.616 -0.746
Dy -1.405 -3.014 2.343
Dy 1.760 -0.792 3.581
Sc 2.190 -3.393 0.492
Se 0.848 -0.930 6.297
Se -4.098 -2.443 1.540
Se -3.659 -5.099 -1.611
Se -2.382 -3.198 5.033
Se -0.429 -2.831 -0.347
Se 1.287 -3.586 3.146
Se -1.898 -5.812 1.962
Se -0.913 -0.217 2.724
```

Computed, not measured: an optimized crystal structure of CrTc2Pb at the PBE level of DFT.

Formation energy from the elements   0.54 eV per atom
DOS at the Fermi energy   4.1 states/eV/cell
Polymorph energy (0 for the lowest one)   0.0797 eV/atom
Space group   P4mm
Volume   65.4 Å³ per cell
Spin magnetization   0.0000 μB per atom

Structure (extended XYZ):
```
4
Lattice="3.097 0.000 0.000 0.000 3.097 0.000 0.000 0.000 6.823" Properties=species:S:1:pos:R:3 pbc="T T T"
Cr 0.000 0.000 3.087
Tc 1.549 1.549 1.850
Tc 0.000 0.000 0.242
Pb 1.549 1.549 5.055
```

Computed, not measured: an optimized crystal structure of TaRuN2F at the PBE level of DFT.

Uncorrected formation energy   0.049 eV per atom
DOS at the Fermi energy   4.6 states/eV/cell
Polymorph energy (0 for the lowest one)   0.0000 eV/atom
Space group   P4/mmm
Volume   66.2 Å³ per cell
Spin magnetization   0.6165 μB per atom

Structure (extended XYZ):
```
5
Lattice="4.089 0.000 0.000 0.000 4.089 0.000 0.000 0.000 3.961" Properties=species:S:1:pos:R:3 pbc="T T T"
N 2.044 0.000 0.000
N 0.000 2.044 0.000
F 0.000 0.000 1.980
Ru 2.044 2.044 1.980
Ta 0.000 0.000 0.000
```